(1)
Compound: Ba2MoRh
Source: Alexandria
Functional: PBE
Structure: relaxed

Output
- Uncorrected energy: -4.59 eV/atom
- ΔH_f (0 K): 0.912 eV/atom
- Fermi-level density of states: 1.195 states/eV/atom
- Distance to the lowest polymorph of the same formula: 518 meV per atom

Lattice parameters (Å, degrees): 7.867 7.867 7.867 90.00 90.00 90.00
Space group Fm-3m (No. 225)
Unique sites:
Ba: 0.250 0.250 0.250 (multiplicity 8)
Mo: 0.000 0.000 0.000 (multiplicity 4)
Rh: 0.000 0.000 0.500 (multiplicity 4)

=====

(2)
Compound: BaMo2Rh
Source: Alexandria
Functional: PBE
Structure: relaxed

Output
- Uncorrected energy: -6.88 eV/atom
- ΔH_f (0 K): 0.855 eV/atom
- Fermi-level density of states: 1.140 states/eV/atom
- Distance to the lowest polymorph of the same formula: 386 meV per atom

Lattice parameters (Å, degrees): 3.196 5.602 9.630 90.00 90.00 90.00
Space group Imm2 (No. 44)
Unique sites:
Ba: 0.000 0.000 0.000 (multiplicity 2)
Mo: 0.000 0.000 0.483 (multiplicity 2)
Mo: 0.000 0.500 0.796 (multiplicity 2)
Rh: 0.000 0.500 0.214 (multiplicity 2)

=====

(3)
Compound: BaMo2Rh
Source: Alexandria
Functional: PBE
Structure: relaxed

Output
- Uncorrected energy: -6.75 eV/atom
- ΔH_f (0 K): 0.986 eV/atom
- Fermi-level density of states: 1.594 states/eV/atom
- Distance to the lowest polymorph of the same formula: 517 meV per atom

Lattice parameters (Å, degrees): 2.9523 2.9523 31.6387 90.00 90.00 120.00
Space group R-3m (No. 166, hexagonal axes)
Unique sites:
Ba: 0.0000 0.0000 0.0000 (multiplicity 3)
Mo: 0.0000 0.0000 0.2343 (multiplicity 6)
Rh: 0.0000 0.0000 0.5000 (multiplicity 3)

=====

(4)
Compound: Ba2MoRh
Source: Alexandria
Functional: PBE
Structure: relaxed

Output
- Uncorrected energy: -4.56 eV/atom
- ΔH_f (0 K): 0.946 eV/atom
- Fermi-level density of states: 1.174 states/eV/atom
- Distance to the lowest polymorph of the same formula: 552 meV per atom

Lattice parameters (Å, degrees): 3.354 3.354 9.606 90.00 90.00 90.00
Space group P4/mmm (No. 123)
Unique sites:
Ba: 0.000 0.000 0.224 (multiplicity 2)
Mo: 0.500 0.500 0.500 (multiplicity 1)
Rh: 0.500 0.500 0.000 (multiplicity 1)

=====

Please write out number 3 again, unchanged.
Compound: BaMo2Rh
Source: Alexandria
Functional: PBE
Structure: relaxed

Output
- Uncorrected energy: -6.75 eV/atom
- ΔH_f (0 K): 0.986 eV/atom
- Fermi-level density of states: 1.594 states/eV/atom
- Distance to the lowest polymorph of the same formula: 517 meV per atom

Lattice parameters (Å, degrees): 2.9523 2.9523 31.6387 90.00 90.00 120.00
Space group R-3m (No. 166, hexagonal axes)
Unique sites:
Ba: 0.0000 0.0000 0.0000 (multiplicity 3)
Mo: 0.0000 0.0000 0.2343 (multiplicity 6)
Rh: 0.0000 0.0000 0.5000 (multiplicity 3)